Pu2ZnFe | PBE | optimized geometry

Geometry as POSCAR:
```
Pu2ZnFe
1.0
3.5626 0.0000 0.0000
0.0000 3.5626 0.0000
0.0000 0.0000 4.8259
Pu Zn Fe
2 1 1
direct
0.0000 0.5000 0.0000 Pu
0.5000 0.0000 0.0000 Pu
0.0000 0.0000 0.5000 Zn
0.5000 0.5000 0.5000 Fe
```

SG: No. 123
Formation energy in eV per atom: 0.402